(1)
This record from the Alexandria database describes a relaxed LaZnS crystal. The functional is GGA-PBE.

The space group is R-3m (No. 166, hexagonal axes) and the conventional cell measures 4.7549, 4.7549 and 22.9322 Å, with angles of 90.00, 90.00 and 120.00 degrees. Symmetry generates all atoms from La at (0.0000, 0.0000, 0.0865), Zn at (0.0000, 0.0000, 0.3298) and S at (0.0000, 0.0000, 0.2159).

For the energy relative to the elements, uncorrected, the calculation gives -1.295 eV/atom. Its total energy is -4.74 eV/atom.

---

(2)
This record from the Alexandria database describes a relaxed Pm6Os2F crystal. The functional is GGA-PBE.

The space group is P2_1/c (No. 14) and the conventional cell measures 6.516, 7.459 and 11.572 Å, with angles of 90.00, 123.21 and 90.00 degrees. Symmetry generates all atoms from Pm at (0.102, 0.172, 0.433), Pm at (0.259, 0.668, 0.431), Pm at (0.386, 0.045, 0.248), Os at (0.199, 0.113, 0.747) and F at (0.500, 0.000, 0.500).

For the energy relative to the elements, uncorrected, the calculation gives -0.666 eV/atom. Its total energy is -6.54 eV/atom.

---

(3)
This record from the Alexandria database describes a relaxed CsKWS4 crystal. The functional is GGA-PBE.

The space group is P2_1/m (No. 11) and the conventional cell measures 6.777, 7.178 and 10.115 Å, with angles of 90.00, 108.25 and 90.00 degrees. Symmetry generates all atoms from Cs at (0.250, 0.250, 0.101), K at (0.191, 0.750, 0.486), W at (0.387, 0.250, 0.711), S at (0.249, 0.002, 0.776), S at (0.273, 0.750, 0.187) and S at (0.308, 0.250, 0.482).

For the energy relative to the elements, uncorrected, the calculation gives -1.018 eV/atom. Its total energy is -5.51 eV/atom.

---

(4)
This record from the Alexandria database describes a relaxed Mg2Sc5InIr2 crystal. The functional is GGA-PBE.

The space group is P4/mbm (No. 127) and the conventional cell measures 11.184, 11.184 and 3.554 Å, with angles of 90.00, 90.00 and 90.00 degrees. Symmetry generates all atoms from Mg at (0.175, 0.325, 0.000), Sc at (0.000, 0.500, 0.500), Sc at (0.073, 0.791, 0.500), In at (0.000, 0.000, 0.000) and Ir at (0.127, 0.627, 0.000).

Its total energy is -6.03 eV/atom. The value obtained for the formation energy is -4.989 eV per formula unit.

---

(5)
This record from the Alexandria database describes a relaxed FeTc2Ru crystal. The functional is GGA-PBE.

The space group is R-3m (No. 166, hexagonal axes) and the conventional cell measures 2.6888, 2.6888 and 26.1167 Å, with angles of 90.00, 90.00 and 120.00 degrees. Symmetry generates all atoms from Fe at (0.0000, 0.0000, 0.0000), Tc at (0.0000, 0.0000, 0.2532) and Ru at (0.0000, 0.0000, 0.5000).

The distance to the lowest polymorph of the same formula comes out at 2.78 kcal/mol of atoms. Its total energy is -9.49 eV/atom. The value obtained for the formation energy is 0.503 eV per formula unit.

---

(6)
This record from the Alexandria database describes a relaxed TbAs2Pd2 crystal. The functional is GGA-PBE.

The space group is Cmc2_1 (No. 36) and the conventional cell measures 4.134, 11.619 and 7.900 Å, with angles of 90.00, 90.00 and 90.00 degrees. Symmetry generates all atoms from Tb at (0.000, 0.099, 0.000), As at (0.000, 0.240, 0.317), As at (0.000, 0.448, 0.160), Pd at (0.000, 0.183, 0.634) and Pd at (0.000, 0.387, 0.851).

Its total energy is -5.67 eV/atom. The value obtained for the formation energy is -4.019 eV per formula unit.